Computed, not measured: a relaxed structure of Ca2MgAl3Ga4 at the GGA-PBE level of DFT.

POSCAR file:
```
Ca2MgAl3Ga4
1.0
4.337 0.000 0.000
0.000 4.337 0.000
0.000 0.000 11.174
Ca Mg Al Ga
2 1 3 4
Cartesian
0.000 2.169 2.721
2.169 0.000 8.453
0.000 0.000 5.587
0.000 2.169 9.677
2.169 0.000 1.497
2.169 2.169 5.587
0.000 0.000 0.000
0.000 2.169 7.181
2.169 0.000 3.993
2.169 2.169 0.000
```

The calculation puts the total moment at 0.00 μB per atom. For the formation energy, the calculation gives -3.22 eV/f.u.